# LaCe2Sb2 PBE optimized geometry
# density of states at the Fermi level	9.87	states/eV/f.u.
# ρ	6519	kg/m3
# electronic total energy	-57.4	eV/cell
# ΔE_f (raw)	-355	kJ/mol of formula units
# volume	33.76	Å³/atom
data_LaCe2Sb2
_chemical_formula_sum 'La2 Ce4 Sb4'
_cell_length_a 8.226
_cell_length_b 8.226
_cell_length_c 6.181
_cell_angle_alpha 112.07
_cell_angle_beta 112.07
_cell_angle_gamma 98.77
_space_group_name_H-M_alt 'P 1'
_space_group_IT_number 1
loop_
_space_group_symop_operation_xyz
'x,y,z'
loop_
_atom_site_label
_atom_site_type_symbol
_atom_site_fract_x
_atom_site_fract_y
_atom_site_fract_z
La1 La 0.119 0.881 0.250
La2 La 0.881 0.119 0.750
Sb1 Sb 0.381 0.619 0.250
Sb2 Sb 0.619 0.381 0.750
Sb3 Sb 0.851 0.149 0.250
Sb4 Sb 0.149 0.851 0.750
Ce1 Ce 0.533 0.764 0.899
Ce2 Ce 0.764 0.533 0.399
Ce3 Ce 0.236 0.467 0.601
Ce4 Ce 0.467 0.236 0.101


# LaCe4Sb4 PBE optimized geometry
# density of states at the Fermi level	29.40	states/eV/f.u.
# ρ	6194	kg/m3
# electronic total energy	-105.3	eV/cell
# ΔE_f (raw)	-723	kJ/mol of formula units
# volume	35.34	Å³/atom
data_LaCe4Sb4
_chemical_formula_sum 'La2 Ce8 Sb8'
_cell_length_a 6.327
_cell_length_b 10.028
_cell_length_c 10.028
_cell_angle_alpha 90.00
_cell_angle_beta 90.00
_cell_angle_gamma 90.00
_space_group_name_H-M_alt 'P 1'
_space_group_IT_number 1
loop_
_space_group_symop_operation_xyz
'x,y,z'
loop_
_atom_site_label
_atom_site_type_symbol
_atom_site_fract_x
_atom_site_fract_y
_atom_site_fract_z
La1 La 0.500 0.500 0.500
La2 La 0.000 0.000 0.000
Ce1 Ce 0.000 0.397 0.800
Ce2 Ce 0.500 0.103 0.700
Ce3 Ce 0.500 0.700 0.897
Ce4 Ce 0.500 0.300 0.103
Ce5 Ce 0.000 0.800 0.603
Ce6 Ce 0.000 0.200 0.397
Ce7 Ce 0.500 0.897 0.300
Ce8 Ce 0.000 0.603 0.200
Sb1 Sb 0.500 0.401 0.803
Sb2 Sb 0.000 0.099 0.697
Sb3 Sb 0.000 0.303 0.099
Sb4 Sb 0.000 0.697 0.901
Sb5 Sb 0.000 0.901 0.303
Sb6 Sb 0.500 0.599 0.197
Sb7 Sb 0.500 0.197 0.401
Sb8 Sb 0.500 0.803 0.599


# La2CeSb3 PBE optimized geometry
# density of states at the Fermi level	6.60	states/eV/f.u.
# ρ	6350	kg/m3
# electronic total energy	-35.4	eV/cell
# ΔE_f (raw)	-694	kJ/mol of formula units
# volume	34.13	Å³/atom
data_La2CeSb3
_chemical_formula_sum 'La2 Ce1 Sb3'
_cell_length_a 4.587
_cell_length_b 6.487
_cell_length_c 7.948
_cell_angle_alpha 114.08
_cell_angle_beta 106.77
_cell_angle_gamma 90.00
_space_group_name_H-M_alt 'P 1'
_space_group_IT_number 1
loop_
_space_group_symop_operation_xyz
'x,y,z'
loop_
_atom_site_label
_atom_site_type_symbol
_atom_site_fract_x
_atom_site_fract_y
_atom_site_fract_z
Ce1 Ce 0.000 0.500 0.000
Sb1 Sb 0.000 0.000 0.000
Sb2 Sb 0.662 0.662 0.324
Sb3 Sb 0.338 0.338 0.676
La1 La 0.668 0.168 0.335
La2 La 0.332 0.832 0.665